1.
DFT (PBE) results for crystalline ZnSbCl2 at its relaxed geometry.

```
data_ZnSbCl2
_chemical_formula_sum 'Zn1 Sb1 Cl2'
_cell_length_a 11.201
_cell_length_b 11.201
_cell_length_c 11.201
_cell_angle_alpha 17.40
_cell_angle_beta 17.40
_cell_angle_gamma 17.40
_space_group_name_H-M_alt 'P 1'
_space_group_IT_number 1
loop_
_space_group_symop_operation_xyz
'x,y,z'
loop_
_atom_site_label
_atom_site_type_symbol
_atom_site_fract_x
_atom_site_fract_y
_atom_site_fract_z
Cl1 Cl 0.123 0.123 0.123
Cl2 Cl 0.877 0.877 0.877
Sb1 Sb 0.000 0.000 0.000
Zn1 Zn 0.500 0.500 0.500
```

**Energy**: -2.82 eV/atom
**ΔE to the lowest computed polymorph**: 0 meV/atom
**Total magnetization**: 0.00 μB per atom
**Formation energy without anion corrections**: -0.549 eV/atom



2.
DFT (PBE) results for crystalline NaPrSe2O8 at its relaxed geometry.

```
data_NaPrSe2O8
_chemical_formula_sum 'Na1 Pr1 Se2 O8'
_cell_length_a 6.163
_cell_length_b 6.163
_cell_length_c 6.163
_cell_angle_alpha 106.08
_cell_angle_beta 106.08
_cell_angle_gamma 116.49
_space_group_name_H-M_alt 'P 1'
_space_group_IT_number 1
loop_
_space_group_symop_operation_xyz
'x,y,z'
loop_
_atom_site_label
_atom_site_type_symbol
_atom_site_fract_x
_atom_site_fract_y
_atom_site_fract_z
Se1 Se 0.500 0.500 0.000
Se2 Se 0.750 0.250 0.500
O1 O 0.488 0.663 0.824
O2 O 0.839 0.663 0.176
O3 O 0.337 0.512 0.176
O4 O 0.337 0.161 0.824
O5 O 0.772 0.093 0.679
O6 O 0.907 0.585 0.679
O7 O 0.415 0.093 0.321
O8 O 0.907 0.228 0.321
Pr1 Pr 0.000 0.000 0.000
Na1 Na 0.250 0.750 0.500
```

**Energy**: -5.90 eV/atom
**ΔE to the lowest computed polymorph**: 3 meV/atom
**Total magnetization**: 0.00 μB per atom
**Formation energy without anion corrections**: -1.502 eV/atom



3.
DFT (PBE) results for crystalline Ba2VBi at its relaxed geometry.

```
data_Ba2VBi
_chemical_formula_sum 'Ba4 V2 Bi2'
_cell_length_a 9.319
_cell_length_b 9.319
_cell_length_c 7.500
_cell_angle_alpha 51.59
_cell_angle_beta 51.59
_cell_angle_gamma 90.00
_space_group_name_H-M_alt 'P 1'
_space_group_IT_number 1
loop_
_space_group_symop_operation_xyz
'x,y,z'
loop_
_atom_site_label
_atom_site_type_symbol
_atom_site_fract_x
_atom_site_fract_y
_atom_site_fract_z
V1 V 0.250 0.750 0.500
V2 V 0.500 0.500 0.000
Bi1 Bi 0.750 0.250 0.500
Bi2 Bi 0.000 0.000 0.000
Ba1 Ba 0.375 0.392 0.750
Ba2 Ba 0.875 0.858 0.750
Ba3 Ba 0.608 0.125 0.250
Ba4 Ba 0.142 0.625 0.250
```

**Formation energy**: 362 meV per atom
**Energy**: -3.85 eV/atom
**Total magnetization**: 1.12 μB per atom



4.
DFT (PBE) results for crystalline CdPbAu2 at its relaxed geometry.

```
data_CdPbAu2
_chemical_formula_sum 'Cd1 Pb1 Au2'
_cell_length_a 7.450
_cell_length_b 4.841
_cell_length_c 3.812
_cell_angle_alpha 89.62
_cell_angle_beta 59.80
_cell_angle_gamma 124.85
_space_group_name_H-M_alt 'P 1'
_space_group_IT_number 1
loop_
_space_group_symop_operation_xyz
'x,y,z'
loop_
_atom_site_label
_atom_site_type_symbol
_atom_site_fract_x
_atom_site_fract_y
_atom_site_fract_z
Au1 Au 0.000 0.000 0.000
Au2 Au 0.500 0.000 0.500
Cd1 Cd 0.000 0.500 0.500
Pb1 Pb 0.500 0.500 0.000
```

**Formation energy**: -39 meV per atom
**Energy**: -2.83 eV/atom
**Total magnetization**: 0.00 μB per atom



5.
DFT (PBE) results for crystalline TlCr2Re at its relaxed geometry.

```
data_TlCr2Re
_chemical_formula_sum 'Tl1 Cr2 Re1'
_cell_length_a 2.900
_cell_length_b 3.725
_cell_length_c 5.846
_cell_angle_alpha 90.00
_cell_angle_beta 90.00
_cell_angle_gamma 90.00
_space_group_name_H-M_alt 'P 1'
_space_group_IT_number 1
loop_
_space_group_symop_operation_xyz
'x,y,z'
loop_
_atom_site_label
_atom_site_type_symbol
_atom_site_fract_x
_atom_site_fract_y
_atom_site_fract_z
Tl1 Tl 0.500 0.500 0.760
Cr1 Cr 0.000 0.000 0.054
Cr2 Cr 0.500 0.500 0.248
Re1 Re 0.000 0.000 0.437
```

**Formation energy**: 603 meV per atom
**Energy**: -7.91 eV/atom
**ΔE to the lowest computed polymorph**: 131 meV/atom
**Total magnetization**: 0.08 μB per atom



6.
DFT (PBE) results for crystalline UTiSn at its relaxed geometry.

```
data_UTiSn
_chemical_formula_sum 'U2 Ti2 Sn2'
_cell_length_a 4.781
_cell_length_b 4.416
_cell_length_c 6.495
_cell_angle_alpha 90.00
_cell_angle_beta 90.00
_cell_angle_gamma 90.00
_space_group_name_H-M_alt 'P 1'
_space_group_IT_number 1
loop_
_space_group_symop_operation_xyz
'x,y,z'
loop_
_atom_site_label
_atom_site_type_symbol
_atom_site_fract_x
_atom_site_fract_y
_atom_site_fract_z
U1 U 0.000 0.000 0.467
U2 U 0.500 0.500 0.533
Ti1 Ti 0.500 0.000 0.724
Ti2 Ti 0.000 0.500 0.276
Sn1 Sn 0.500 0.500 0.035
Sn2 Sn 0.000 0.000 0.965
```

**Formation energy**: 430 meV per atom
**Energy**: -7.30 eV/atom
**Total magnetization**: 0.22 μB per atom



7.
DFT (PBE) results for crystalline AsPNF2 at its relaxed geometry.

```
data_AsPNF2
_chemical_formula_sum 'As1 P1 N1 F2'
_cell_length_a 4.572
_cell_length_b 4.572
_cell_length_c 3.228
_cell_angle_alpha 90.00
_cell_angle_beta 90.00
_cell_angle_gamma 90.00
_space_group_name_H-M_alt 'P 1'
_space_group_IT_number 1
loop_
_space_group_symop_operation_xyz
'x,y,z'
loop_
_atom_site_label
_atom_site_type_symbol
_atom_site_fract_x
_atom_site_fract_y
_atom_site_fract_z
N1 N 0.000 0.000 0.500
P1 P 0.000 0.000 0.000
F1 F 0.000 0.500 0.000
F2 F 0.500 0.000 0.000
As1 As 0.500 0.500 0.500
```

**Energy**: -4.42 eV/atom
**ΔE to the lowest computed polymorph**: 0 meV/atom
**Total magnetization**: 0.00 μB per atom
**Formation energy without anion corrections**: 0.010 eV/atom



8.
DFT (PBE) results for crystalline Th4As3 at its relaxed geometry.

```
data_Th4As3
_chemical_formula_sum 'Th4 As3'
_cell_length_a 4.151
_cell_length_b 4.151
_cell_length_c 13.888
_cell_angle_alpha 81.41
_cell_angle_beta 81.41
_cell_angle_gamma 60.00
_space_group_name_H-M_alt 'P 1'
_space_group_IT_number 1
loop_
_space_group_symop_operation_xyz
'x,y,z'
loop_
_atom_site_label
_atom_site_type_symbol
_atom_site_fract_x
_atom_site_fract_y
_atom_site_fract_z
Th1 Th 0.622 0.622 0.134
Th2 Th 0.871 0.871 0.388
Th3 Th 0.378 0.378 0.866
Th4 Th 0.129 0.129 0.612
As1 As 0.000 0.000 0.000
As2 As 0.246 0.246 0.261
As3 As 0.754 0.754 0.739
```

**Formation energy**: -1054 meV per atom
**Energy**: -7.29 eV/atom
**Total magnetization**: 0.00 μB per atom



9.
DFT (PBE) results for crystalline Nd8Bi2Au at its relaxed geometry.

```
data_Nd8Bi2Au
_chemical_formula_sum 'Nd8 Bi2 Au1'
_cell_length_a 5.236
_cell_length_b 6.917
_cell_length_c 10.514
_cell_angle_alpha 103.76
_cell_angle_beta 104.42
_cell_angle_gamma 90.00
_space_group_name_H-M_alt 'P 1'
_space_group_IT_number 1
loop_
_space_group_symop_operation_xyz
'x,y,z'
loop_
_atom_site_label
_atom_site_type_symbol
_atom_site_fract_x
_atom_site_fract_y
_atom_site_fract_z
Bi1 Bi 0.181 0.764 0.362
Bi2 Bi 0.819 0.236 0.638
Nd1 Nd 0.018 0.778 0.036
Nd2 Nd 0.220 0.326 0.441
Nd3 Nd 0.408 0.518 0.816
Nd4 Nd 0.350 0.982 0.701
Nd5 Nd 0.592 0.482 0.184
Nd6 Nd 0.650 0.018 0.299
Nd7 Nd 0.982 0.222 0.964
Nd8 Nd 0.780 0.674 0.559
Au1 Au 0.500 0.000 0.000
```

**Formation energy**: -400 meV per atom
**Energy**: -4.87 eV/atom
**Total magnetization**: 0.00 μB per atom



10.
DFT (PBE) results for crystalline CsIn3Te3 at its relaxed geometry.

```
data_CsIn3Te3
_chemical_formula_sum 'Cs2 In6 Te6'
_cell_length_a 8.713
_cell_length_b 8.713
_cell_length_c 8.713
_cell_angle_alpha 90.00
_cell_angle_beta 90.00
_cell_angle_gamma 90.00
_space_group_name_H-M_alt 'P 1'
_space_group_IT_number 1
loop_
_space_group_symop_operation_xyz
'x,y,z'
loop_
_atom_site_label
_atom_site_type_symbol
_atom_site_fract_x
_atom_site_fract_y
_atom_site_fract_z
Te1 Te 0.250 0.500 0.000
Te2 Te 0.000 0.250 0.500
Te3 Te 0.500 0.000 0.750
Te4 Te 0.750 0.500 0.000
Te5 Te 0.000 0.750 0.500
Te6 Te 0.500 0.000 0.250
In1 In 0.000 0.500 0.750
In2 In 0.500 0.250 0.000
In3 In 0.750 0.000 0.500
In4 In 0.250 0.000 0.500
In5 In 0.500 0.750 0.000
In6 In 0.000 0.500 0.250
Cs1 Cs 0.000 0.000 0.000
Cs2 Cs 0.500 0.500 0.500
```

**Energy**: -2.92 eV/atom
**ΔE to the lowest computed polymorph**: 100 meV/atom
**Total magnetization**: 0.00 μB per atom
**Formation energy without anion corrections**: -0.277 eV/atom



11.
DFT (PBE) results for crystalline Pr4ErS5 at its relaxed geometry.

```
data_Pr4ErS5
_chemical_formula_sum 'Pr4 Er1 S5'
_cell_length_a 4.059
_cell_length_b 4.059
_cell_length_c 14.672
_cell_angle_alpha 97.95
_cell_angle_beta 97.95
_cell_angle_gamma 90.00
_space_group_name_H-M_alt 'P 1'
_space_group_IT_number 1
loop_
_space_group_symop_operation_xyz
'x,y,z'
loop_
_atom_site_label
_atom_site_type_symbol
_atom_site_fract_x
_atom_site_fract_y
_atom_site_fract_z
S1 S 0.702 0.702 0.404
S2 S 0.905 0.905 0.811
S3 S 0.500 0.500 0.000
S4 S 0.095 0.095 0.189
S5 S 0.298 0.298 0.596
Pr1 Pr 0.804 0.804 0.608
Pr2 Pr 0.399 0.399 0.798
Pr3 Pr 0.601 0.601 0.202
Pr4 Pr 0.196 0.196 0.392
Er1 Er 0.000 0.000 0.000
```

**Energy**: -6.42 eV/atom
**Total magnetization**: 0.00 μB per atom
**Formation energy without anion corrections**: -1.989 eV/atom